No. 1
Material: CaAg2Br
Method: DFT, GGA-PBE
State: optimized geometry

Results
Total magnetization in μB per atom: 0.0000
Energy relative to the elements, uncorrected in eV per atom: -0.348
Distance to the lowest polymorph of the same formula in meV per atom: 226

Lattice parameters (Å, degrees): 5.1489 5.1489 7.3002 90.00 90.00 90.00
Closest atoms and distances in Å follow each position.
Space group I-4m2 (No. 119)
One atom of each set of equivalent atoms:
Ca: 0.0000 0.0000 0.0000 [2 per cell]  4 Br 3.16, 4 Ag 3.16
Ag: 0.0000 0.0000 0.5000 [2 per cell]  4 Br 3.16, 4 Ag 3.16
Ag: 0.0000 0.5000 0.7500 [2 per cell]  4 Ca 3.16, 4 Ag 3.16
Br: 0.0000 0.5000 0.2500 [2 per cell]  4 Ca 3.16, 4 Ag 3.16

***

No. 2
Material: Mg3BeRu
Method: DFT, GGA-PBE
State: optimized geometry

Results
Total magnetization in μB per atom: 0.0000
Distance to the lowest polymorph of the same formula in meV per atom: 61

Lattice parameters (Å, degrees): 4.8926 4.8926 4.8926 90.00 90.00 90.00
Closest atoms and distances in Å follow each position.
Space group Pm-3m (No. 221)
One atom of each set of equivalent atoms:
Mg: 0.0000 0.0000 0.5000 [3 per cell]  2 Ru 2.45
Be: 0.5000 0.5000 0.5000 [1 per cell]  12 Mg 3.46
Ru: 0.0000 0.0000 0.0000 [1 per cell]  6 Mg 2.45

***

No. 3
Material: NaIr4
Method: DFT, GGA-PBE
State: optimized geometry

Results
E_tot in eV per atom: -4.868
Total magnetization in μB per atom: 0.0000

Lattice parameters (Å, degrees): 4.3754 4.3754 4.3754 90.00 90.00 90.00
Closest atoms and distances in Å follow each position.
Space group Pm-3m (No. 221)
One atom of each set of equivalent atoms:
Na: 0.0000 0.0000 0.0000 [1 per cell]  6 Ir 2.19
Ir: 0.0000 0.0000 0.5000 [3 per cell]  2 Na 2.19
Ir: 0.5000 0.5000 0.5000 [1 per cell]  12 Ir 3.09

***

No. 4
Material: Mg2ZnTc
Method: DFT, GGA-PBE
State: optimized geometry

Results
Total magnetization in μB per atom: 0.0000
Distance to the lowest polymorph of the same formula in meV per atom: 50

Lattice parameters (Å, degrees): 2.9916 4.6867 9.5824 90.00 90.00 90.00
Closest atoms and distances in Å follow each position.
Space group Imm2 (No. 44)
One atom of each set of equivalent atoms:
Mg: 0.0000 0.0000 0.0000 [2 per cell]  4 Tc 2.79, 2 Zn 2.82, 4 Mg 2.99-3.05
Mg: 0.0000 0.5000 0.2224 [2 per cell]  4 Zn 2.79, 2 Tc 2.83, 4 Mg 2.99-3.05
Zn: 0.0000 0.5000 0.7493 [2 per cell]  2 Tc 2.61, 6 Mg 2.79-2.82
Tc: 0.0000 0.0000 0.4722 [2 per cell]  2 Zn 2.61, 6 Mg 2.79-2.83

***

No. 5
Material: HoMg2AlAg4
Method: DFT, GGA-PBE
State: optimized geometry

Results
E_tot in eV per atom: -3.060
Total magnetization in μB per atom: 0.0000

Lattice parameters (Å, degrees): 4.6537 4.6537 25.1648 90.00 90.00 120.00
Closest atoms and distances in Å follow each position.
Space group R-3m (No. 166, hexagonal axes)
One atom of each set of equivalent atoms:
Ho: 0.0000 0.0000 0.0000 [3 per cell]  8 Ag 3.07-3.25
Mg: 0.0000 0.0000 0.2462 [6 per cell]  7 Ag 2.78-2.94
Al: 0.0000 0.0000 0.5000 [3 per cell]  8 Ag 2.71-2.85
Ag: 0.0000 0.0000 0.1293 [6 per cell]  3 Al 2.85, 4 Mg 2.89-2.94
Ag: 0.0000 0.0000 0.3922 [6 per cell]  1 Al 2.71, 3 Mg 2.78

***

No. 6
Material: CaSm2Ir
Method: DFT, GGA-PBE
State: optimized geometry

Results
Total magnetization in μB per atom: 0.0000
Distance to the lowest polymorph of the same formula in meV per atom: 47

Lattice parameters (Å, degrees): 4.1544 4.1544 27.7672 90.00 90.00 120.00
Closest atoms and distances in Å follow each position.
Space group R3m (No. 160, hexagonal axes)
One atom of each set of equivalent atoms:
Ca: 0.0000 0.0000 0.0000 [3 per cell]  6 Sm 3.92-4.02, 6 Ca 4.15
Sm: 0.0000 0.0000 0.5505 [3 per cell]  3 Ir 2.81
Sm: 0.0000 0.0000 0.7785 [3 per cell]  3 Ir 2.81
Ir: 0.0000 0.0000 0.1644 [3 per cell]  6 Sm 2.81

***

No. 7
Material: LaInGe3
Method: DFT, GGA-PBE
State: optimized geometry

Results
Total magnetization in μB per atom: 0.0000
Distance to the lowest polymorph of the same formula in meV per atom: 0

Lattice parameters (Å, degrees): 5.2040 5.2040 5.2040 90.00 90.00 90.00
Closest atoms and distances in Å follow each position.
Space group Pm-3m (No. 221)
One atom of each set of equivalent atoms:
La: 0.0000 0.0000 0.0000 [1 per cell]  12 Ge 3.68
In: 0.5000 0.5000 0.5000 [1 per cell]  6 Ge 2.60
Ge: 0.0000 0.5000 0.5000 [3 per cell]  2 In 2.60

***

No. 8
Material: ReMoW2
Method: DFT, GGA-PBE
State: optimized geometry

Results
Total magnetization in μB per atom: 0.0000
Distance to the lowest polymorph of the same formula in meV per atom: 278

Lattice parameters (Å, degrees): 2.7782 2.7782 8.3067 90.00 90.00 90.00
Closest atoms and distances in Å follow each position.
Space group P4/mmm (No. 123)
One atom of each set of equivalent atoms:
Re: 0.0000 0.0000 0.0000 [1 per cell]  4 Re 2.78, 8 W 2.78
Mo: 0.0000 0.0000 0.5000 [1 per cell]  4 Mo 2.78, 8 W 2.94
W: 0.5000 0.5000 0.2370 [2 per cell]  4 W 2.78, 4 Re 2.78, 4 Mo 2.94